<A>
First-principles (PBE with a Hubbard U) data for a geometry-optimized Fe5O2F8 structure, as listed in the Alexandria database.

a b c (Å): 4.8020 5.7988 13.3863
angles (deg): 100.99 90.74 90.31
Positions (direct):
Fe: 0.0000 0.0000 0.0000
Fe: 0.0013 0.8195 0.3821
Fe: 0.0090 0.4406 0.1937
Fe: 0.4606 0.9080 0.1880
Fe: 0.4802 0.5249 0.9885
Fe: 0.4960 0.3217 0.3949
Fe: 0.5060 0.0862 0.7847
Fe: 0.5306 0.6858 0.5896
Fe: 0.9781 0.2197 0.5842
Fe: 0.9836 0.6197 0.7851
O: 0.1918 0.7268 0.2473
O: 0.3064 0.8402 0.0591
O: 0.6825 0.8032 0.7263
O: 0.6831 0.4009 0.5295
F: 0.1813 0.3430 0.0562
F: 0.1822 0.1317 0.4438
F: 0.2003 0.5392 0.6481
F: 0.2032 0.9365 0.8521
F: 0.2821 0.2489 0.2541
F: 0.2906 0.0373 0.6516
F: 0.2971 0.6488 0.4579
F: 0.2979 0.4053 0.8407
F: 0.6660 0.9880 0.3199
F: 0.6881 0.1749 0.9249
F: 0.7024 0.5864 0.1311
F: 0.7851 0.2867 0.7334
F: 0.7870 0.1211 0.1413
F: 0.7886 0.8866 0.5206
F: 0.8010 0.4954 0.3247
F: 0.8057 0.6785 0.9307

**Space-group type**: No. 1


<B>
First-principles (PBE with a Hubbard U) data for a geometry-optimized Fe5O2F8 structure, as listed in the Alexandria database.

a b c (Å): 7.9759 4.7766 10.8598
angles (deg): 90.00 116.72 90.00
Positions (direct):
Fe: 0.0000 0.0000 0.0000
Fe: 0.0000 0.5000 0.5000
Fe: 0.1992 0.0313 0.7837
Fe: 0.1992 0.4687 0.2837
Fe: 0.3786 0.0116 0.5911
Fe: 0.3786 0.4884 0.0911
Fe: 0.6214 0.5116 0.9089
Fe: 0.6214 0.9884 0.4089
Fe: 0.8008 0.5313 0.7163
Fe: 0.8008 0.9687 0.2163
O: 0.1759 0.2007 0.6227
O: 0.1759 0.2993 0.1227
O: 0.8241 0.7007 0.8773
O: 0.8241 0.7993 0.3773
F: 0.0048 0.7265 0.6854
F: 0.0048 0.7735 0.1854
F: 0.2276 0.6702 0.4585
F: 0.2276 0.8298 0.9585
F: 0.3891 0.1965 0.4143
F: 0.3891 0.3035 0.9143
F: 0.4033 0.7016 0.2778
F: 0.4033 0.7984 0.7778
F: 0.5967 0.2016 0.2222
F: 0.5967 0.2984 0.7222
F: 0.6109 0.6965 0.0857
F: 0.6109 0.8035 0.5857
F: 0.7724 0.1702 0.0415
F: 0.7724 0.3298 0.5415
F: 0.9952 0.2265 0.8146
F: 0.9952 0.2735 0.3146

**Space-group type**: No. 14


Bottom line: <B>, by a margin of 121 meV/atom.


<A>
First-principles (PBE with a Hubbard U) data for a geometry-optimized Fe5O2F8 structure, as listed in the Alexandria database.

a b c (Å): 4.7773 4.7773 15.8079
angles (deg): 90.03 90.03 89.21
Positions (direct):
Fe: 0.0003 0.9997 0.0000
Fe: 0.0113 0.0099 0.1925
Fe: 0.4721 0.4721 0.0999
Fe: 0.5033 0.4905 0.6918
Fe: 0.5033 0.4967 0.5000
Fe: 0.5095 0.4967 0.3082
Fe: 0.5279 0.5279 0.9001
Fe: 0.9689 0.0275 0.4023
Fe: 0.9725 0.0311 0.5977
Fe: 0.9901 0.9887 0.8075
O: 0.1763 0.1730 0.0958
O: 0.6776 0.3217 0.4071
O: 0.6783 0.3224 0.5929
O: 0.8270 0.8237 0.9042
F: 0.1825 0.1936 0.7153
F: 0.1836 0.1981 0.2881
F: 0.1996 0.2233 0.4995
F: 0.2105 0.2061 0.9022
F: 0.2830 0.7138 0.5943
F: 0.2862 0.7170 0.4057
F: 0.2935 0.6915 0.2002
F: 0.3033 0.6967 0.0000
F: 0.3085 0.7065 0.7998
F: 0.6915 0.2873 0.1959
F: 0.6987 0.3013 0.0000
F: 0.7127 0.3085 0.8041
F: 0.7767 0.8004 0.5005
F: 0.7939 0.7895 0.0978
F: 0.8019 0.8164 0.7119
F: 0.8064 0.8175 0.2847

**Space-group type**: No. 5


<B>
First-principles (PBE with a Hubbard U) data for a geometry-optimized Fe5O2F8 structure, as listed in the Alexandria database.

a b c (Å): 16.0891 4.7759 4.7769
angles (deg): 90.00 90.00 90.00
Positions (direct):
Fe: 0.0000 0.2237 0.0000
Fe: 0.0991 0.7718 0.5478
Fe: 0.1938 0.2467 0.0193
Fe: 0.3062 0.7533 0.5193
Fe: 0.4009 0.2282 0.0478
Fe: 0.5000 0.7763 0.5000
Fe: 0.5991 0.2282 0.0478
Fe: 0.6938 0.7533 0.5193
Fe: 0.8062 0.2467 0.0193
Fe: 0.9009 0.7718 0.5478
O: 0.0941 0.0569 0.8335
O: 0.4059 0.9431 0.3335
O: 0.5941 0.9431 0.3335
O: 0.9059 0.0569 0.8335
F: 0.0000 0.5558 0.7325
F: 0.0000 0.9571 0.3329
F: 0.0909 0.4643 0.2393
F: 0.1977 0.9467 0.3324
F: 0.1998 0.5603 0.7202
F: 0.3002 0.4397 0.2202
F: 0.3023 0.0533 0.8324
F: 0.4091 0.5357 0.7393
F: 0.5000 0.0429 0.8329
F: 0.5000 0.4442 0.2325
F: 0.5909 0.5357 0.7393
F: 0.6977 0.0533 0.8324
F: 0.6998 0.4397 0.2202
F: 0.8002 0.5603 0.7202
F: 0.8023 0.9467 0.3324
F: 0.9091 0.4643 0.2393

**Space-group type**: No. 31


Bottom line: <B>, by a margin of 171 meV/atom.


<A>
First-principles (PBE with a Hubbard U) data for a geometry-optimized Fe5OF11 structure, as listed in the Alexandria database.

a b c (Å): 5.3617 5.8274 9.0793
angles (deg): 98.96 97.07 116.27
Positions (direct):
Fe: 0.0000 0.0000 0.0000
Fe: 0.0705 0.8431 0.3976
Fe: 0.1809 0.4869 0.7110
Fe: 0.3916 0.3999 0.3477
Fe: 0.5084 0.0704 0.8095
O: 0.7246 0.6823 0.4504
F: 0.1220 0.5420 0.3129
F: 0.1646 0.2453 0.5080
F: 0.2005 0.8021 0.8930
F: 0.2643 0.8210 0.6097
F: 0.2688 0.2406 0.8264
F: 0.3643 0.3142 0.1332
F: 0.4480 0.0903 0.3662
F: 0.6338 0.7855 0.8058
F: 0.7604 0.2980 0.7015
F: 0.7902 0.2294 0.9911
F: 0.9305 0.9002 0.2003

**Space-group type**: No. 1


<B>
First-principles (PBE with a Hubbard U) data for a geometry-optimized Fe5OF11 structure, as listed in the Alexandria database.

a b c (Å): 5.3066 5.7120 9.3741
angles (deg): 72.27 74.98 64.41
Positions (direct):
Fe: 0.0000 0.0000 0.0000
Fe: 0.0256 0.6557 0.3224
Fe: 0.2595 0.9340 0.5972
Fe: 0.4967 0.1511 0.8269
Fe: 0.5476 0.4141 0.4962
O: 0.4771 0.1190 0.6302
F: 0.0360 0.0193 0.1892
F: 0.0818 0.3094 0.8942
F: 0.1392 0.6945 0.5213
F: 0.4223 0.8320 0.9305
F: 0.4439 0.4195 0.3144
F: 0.5194 0.5053 0.6992
F: 0.5847 0.1993 0.0015
F: 0.6079 0.7645 0.4115
F: 0.9385 0.9748 0.7982
F: 0.9634 0.2724 0.4625
F: 0.9665 0.6807 0.1032

**Space-group type**: No. 1


Bottom line: <A>, by a margin of 48 meV/atom.